First-principles (GGA+U) data for a relaxed structure of Nd2MnF8, as listed in the Alexandria database.

As for the total energy: -6.57 eV per atom. As for the crystal system: monoclinic.

The space group is C2/m (No. 12) and the conventional cell measures 14.8444, 3.8062 and 5.4858 Å, with angles of 90.00, 110.69 and 90.00 degrees. The distinct sites, in fractional coordinates, are Nd at (0.1709, 0.0000, 0.1785), Mn at (0.0000, 0.5000, 0.5000), F at (0.0369, 0.0000, 0.3193), F at (0.0917, 0.5000, 0.9134), F at (0.1741, 0.5000, 0.4607) and F at (0.2217, 0.0000, 0.8211).